Entry 1:
VASP calculation (GGA-PBE) on a geometry-optimized K2SBr structure.

Properties
**Magnetization**: 0.000 μB per formula unit
**Space-group type**: I-42d (122)
**Raw formation energy**: -0.922 eV per atom
**Offset from the most stable computed form**: 12.06 kJ/mol of atoms
**Raw total energy**: -2.921 eV per atom

Cell: 8.692 8.692 7.008 Å, 51.68 51.68 90.00°
Fractional positions:
S 0.250 0.750 0.500
Br 0.000 0.000 0.000
S 0.500 0.500 0.000
Br 0.750 0.250 0.500
K 0.607 0.125 0.250
K 0.875 0.857 0.750
K 0.375 0.393 0.750
K 0.143 0.625 0.250

Entry 2:
VASP calculation (GGA-PBE) on a geometry-optimized K2SBr structure.

Properties
**Magnetization**: 1.000 μB per formula unit
**Space-group type**: Fm-3m (225)
**Raw formation energy**: -0.986 eV per atom
**Offset from the most stable computed form**: 5.95 kJ/mol of atoms
**Raw total energy**: -2.984 eV per atom

Cell: 5.589 5.589 5.589 Å, 60.00 60.00 60.00°
Fractional positions:
S 0.000 0.000 0.000
K 0.750 0.750 0.750
Br 0.500 0.500 0.500
K 0.250 0.250 0.250

Entry 3:
VASP calculation (GGA-PBE) on a geometry-optimized KSe2SBr structure.

Properties
**Magnetization**: 0.462 μB per formula unit
**Space-group type**: P4/mmm (123)
**Raw formation energy**: -0.196 eV per atom
**Offset from the most stable computed form**: 0.00 kJ/mol of atoms
**Raw total energy**: -2.969 eV per atom

Cell: 4.970 4.970 5.618 Å, 90.00 90.00 90.00°
Fractional positions:
S 0.000 0.000 0.000
K 0.500 0.500 0.500
Se 0.000 0.500 0.000
Br 0.000 0.000 0.500
Se 0.500 0.000 0.000

Entry 4:
VASP calculation (GGA-PBE) on a geometry-optimized KSe2SBr structure.

Properties
**Magnetization**: 6.000 μB per formula unit
**Space-group type**: P4/mmm (123)
**Raw formation energy**: 0.911 eV per atom
**Offset from the most stable computed form**: 106.76 kJ/mol of atoms
**Raw total energy**: -1.863 eV per atom

Cell: 6.359 6.359 6.102 Å, 90.00 90.00 90.00°
Fractional positions:
S 0.500 0.500 0.500
Se 0.500 0.000 0.000
Se 0.000 0.500 0.000
K 0.000 0.000 0.000
Br 0.000 0.000 0.500

Entry 5:
VASP calculation (GGA-PBE) on a geometry-optimized KSeSBr2 structure.

Properties
**Magnetization**: 0.420 μB per formula unit
**Space-group type**: P4/mmm (123)
**Raw formation energy**: -0.349 eV per atom
**Offset from the most stable computed form**: 0.00 kJ/mol of atoms
**Raw total energy**: -2.760 eV per atom

Cell: 5.504 5.504 4.861 Å, 90.00 90.00 90.00°
Fractional positions:
S 0.000 0.000 0.000
Br 0.000 0.500 0.000
Br 0.500 0.000 0.000
K 0.500 0.500 0.500
Se 0.000 0.000 0.500

Entry 6:
VASP calculation (GGA-PBE) on a geometry-optimized KSeSBr2 structure.

Properties
**Magnetization**: 5.009 μB per formula unit
**Space-group type**: P4/mmm (123)
**Raw formation energy**: 0.588 eV per atom
**Offset from the most stable computed form**: 90.43 kJ/mol of atoms
**Raw total energy**: -1.823 eV per atom

Cell: 6.189 6.189 6.363 Å, 90.00 90.00 90.00°
Fractional positions:
S 0.500 0.500 0.500
Se 0.000 0.000 0.500
Br 0.000 0.500 0.000
Br 0.500 0.000 0.000
K 0.000 0.000 0.000